[1]
A relaxed CsRuAuBr6 crystal, computed with PBE.

Values from the calculation:
SG	No. 149
V	38.2	Å³ per atom
raw total energy	-0.1145	Ha/atom

Lattice parameters (Å, degrees): 7.016 7.019 8.061 90.01 90.04 60.03
Each line ends with the local moment (μB).
Positions (direct):
Br 0.968 0.652 0.677  0.09
Br 0.652 0.380 0.677  0.09
Br 0.379 0.652 0.323  0.09
Br 0.652 0.968 0.323  0.09
Br 0.380 0.968 0.677  0.09
Br 0.968 0.380 0.323  0.09
Ru 0.667 0.667 0.500  1.01
Cs 0.000 0.000 0.000  0.00
Au 0.333 0.333 0.500  0.31

=====

[2]
A relaxed Cs8Au3SBr4 crystal, computed with PBE.

Values from the calculation:
SG	No. 12
V	50.4	Å³ per atom
raw total energy	-0.1019	Ha/atom

Lattice parameters (Å, degrees): 10.480 10.426 10.335 118.83 120.47 90.00
Each line ends with the local moment (μB).
Positions (direct):
Br 0.500 0.000 0.000  0.01
Br 0.000 0.000 0.000  0.00
Br 0.000 0.000 0.500  0.00
Br 0.500 0.000 0.500  0.00
Cs 0.247 0.249 0.996  0.00
Cs 0.251 0.751 0.004  0.00
Cs 0.750 0.246 0.501  0.01
Cs 0.249 0.247 0.498  0.00
Cs 0.250 0.754 0.499  0.01
Cs 0.749 0.249 0.996  0.00
Cs 0.751 0.753 0.502  0.00
Cs 0.753 0.751 0.004  0.00
S 0.000 0.500 0.000  0.53
Au 0.000 0.500 0.500  0.01
Au 0.500 0.500 0.500  0.01
Au 0.500 0.500 0.000  0.01

=====

[3]
A relaxed Cs2AuSBr6 crystal, computed with PBE.

Values from the calculation:
SG	No. 12
V	35.4	Å³ per atom
raw total energy	-0.0982	Ha/atom

Lattice parameters (Å, degrees): 7.828 7.829 8.177 58.68 58.69 85.06
Each line ends with the local moment (μB).
Positions (direct):
Cs 0.250 0.750 0.499  0.00
Cs 0.750 0.250 0.501  0.00
Br 0.284 0.284 0.000  0.03
Br 0.215 0.215 0.570  0.02
Br 0.785 0.785 0.430  0.02
Br 0.716 0.716 0.000  0.03
Br 0.746 0.255 0.000  0.03
Br 0.254 0.745 0.000  0.03
S 0.500 0.500 0.000  0.21
Au 0.000 0.000 0.000  0.01

=====

So what do the calculations give for ΔE_f (raw)? Going down the list: -442.9; -1628.1; -729.9 kJ/mol of formula units.